1.
A plane-wave DFT calculation with PBE was carried out for crystalline Nd2Al4ZnRh3 at its relaxed geometry.

Summary:
ΔH_f (0 K)   -732.2 meV/atom
Crystal system   tetragonal

Cell: 4.274 4.274 10.344 Å, 90.00 90.00 90.00°
Space group P-4m2 (No. 115)
Asymmetric unit:
Nd  0.000  0.500  0.246 (multiplicity 2)
Al  0.000  0.000  0.500 (multiplicity 1)
Al  0.000  0.500  0.869 (multiplicity 2)
Al  0.500  0.500  0.500 (multiplicity 1)
Zn  0.500  0.500  0.000 (multiplicity 1)
Rh  0.000  0.000  0.000 (multiplicity 1)
Rh  0.000  0.500  0.627 (multiplicity 2)

***

2.
A plane-wave DFT calculation with PBE was carried out for crystalline Nd2AlRu at its relaxed geometry.

Summary:
ΔH_f (0 K)   -280.9 meV/atom
Crystal system   trigonal

Cell: 4.9671 4.9671 4.9298 Å, 90.00 90.00 120.00°
Space group P-3m1 (No. 164)
Asymmetric unit:
Nd  0.3333  0.6667  0.2148 (multiplicity 2)
Al  0.0000  0.0000  0.5000 (multiplicity 1)
Ru  0.0000  0.0000  0.0000 (multiplicity 1)

***

3.
A plane-wave DFT calculation with PBE was carried out for crystalline Nd2AlRu at its relaxed geometry.

Summary:
ΔH_f (0 K)   -220.4 meV/atom
Crystal system   tetragonal

Cell: 3.617 3.617 7.291 Å, 90.00 90.00 90.00°
Space group P4/mmm (No. 123)
Asymmetric unit:
Nd  0.000  0.000  0.233 (multiplicity 2)
Al  0.500  0.500  0.500 (multiplicity 1)
Ru  0.500  0.500  0.000 (multiplicity 1)

***

4.
A plane-wave DFT calculation with PBE was carried out for crystalline Nd3Al3Ru2 at its relaxed geometry.

Summary:
ΔH_f (0 K)   -455.2 meV/atom
Crystal system   orthorhombic

Cell: 7.780 15.479 5.992 Å, 90.00 90.00 90.00°
Space group Pnma (No. 62)
Asymmetric unit:
Nd  0.035  0.107  0.102 (multiplicity 8)
Nd  0.174  0.250  0.622 (multiplicity 4)
Al  0.155  0.035  0.592 (multiplicity 8)
Al  0.172  0.750  0.606 (multiplicity 4)
Ru  0.139  0.605  0.366 (multiplicity 8)

***

5.
A plane-wave DFT calculation with PBE was carried out for crystalline Nd2Al5Ru at its relaxed geometry.

Summary:
ΔH_f (0 K)   -335.2 meV/atom
Crystal system   tetragonal

Cell: 6.232 6.232 8.997 Å, 90.00 90.00 90.00°
Space group I4mm (No. 107)
Asymmetric unit:
Nd  0.000  0.500  0.000 (multiplicity 4)
Al  0.000  0.000  0.018 (multiplicity 2)
Al  0.220  0.220  0.246 (multiplicity 8)
Ru  0.000  0.000  0.747 (multiplicity 2)

***

6.
A plane-wave DFT calculation with PBE was carried out for crystalline NdAl3Ru at its relaxed geometry.

Summary:
ΔH_f (0 K)   -457.6 meV/atom
Crystal system   cubic

Cell: 4.699 4.699 4.699 Å, 90.00 90.00 90.00°
Space group Pm-3m (No. 221)
Asymmetric unit:
Nd  0.000  0.000  0.000 (multiplicity 1)
Al  0.000  0.500  0.500 (multiplicity 3)
Ru  0.500  0.500  0.500 (multiplicity 1)